[1]
Entry from Alexandria via LeMat-Bulk: a relaxed structure of Sr2HgSb4Pd3 (PBE). Values from VASP.

Structure (Quantum ESPRESSO input):
```
&SYSTEM
  ibrav = 0, nat = 10, ntyp = 4
/
ATOMIC_SPECIES
Sb 121.76 Sb.upf
Sr 87.62 Sr.upf
Pd 106.42 Pd.upf
Hg 200.59 Hg.upf
CELL_PARAMETERS angstrom
-1.796 -1.426 -4.130
2.368 -4.070 0.376
-8.738 -4.586 5.384
ATOMIC_POSITIONS crystal
Sb 0.500 0.000 0.643
Sb 0.000 0.000 0.000
Sr 0.000 0.500 0.751
Pd 0.000 0.000 0.500
Pd 0.000 0.500 0.122
Sb 0.000 0.500 0.357
Sr 0.500 0.000 0.249
Hg 0.500 0.500 0.500
Pd 0.500 0.000 0.878
Sb 0.500 0.500 0.000
```

energy: -42.3 eV per cell
ΔE_f (raw): -0.655 eV/atom
DOS(E_F): 0.35 states/eV/atom
M_tot: 0.0 μB/f.u.

---

[2]
Entry from Alexandria via LeMat-Bulk: a relaxed structure of HgSbTe2Pd (PBE). Values from VASP.

Structure (Quantum ESPRESSO input):
```
&SYSTEM
  ibrav = 0, nat = 5, ntyp = 4
/
ATOMIC_SPECIES
Te 127.60 Te.upf
Pd 106.42 Pd.upf
Hg 200.59 Hg.upf
Sb 121.76 Sb.upf
CELL_PARAMETERS angstrom
5.421 0.000 0.000
0.000 5.421 0.000
0.000 0.000 5.179
ATOMIC_POSITIONS crystal
Te 0.000 0.500 0.000
Pd 0.000 0.000 0.000
Hg 0.500 0.500 0.500
Sb 0.000 0.000 0.500
Te 0.500 0.000 0.000
```

energy: -14.4 eV per cell
ΔE_f (raw): 0.303 eV/atom
DOS(E_F): 1.30 states/eV/atom
M_tot: 0.0 μB/f.u.

---

[3]
Entry from Alexandria via LeMat-Bulk: a relaxed structure of HgSb2PdW (PBE). Values from VASP.

Structure (Quantum ESPRESSO input):
```
&SYSTEM
  ibrav = 0, nat = 5, ntyp = 4
/
ATOMIC_SPECIES
Hg 200.59 Hg.upf
Pd 106.42 Pd.upf
Sb 121.76 Sb.upf
W 183.84 W.upf
CELL_PARAMETERS angstrom
5.156 0.000 0.000
0.000 5.079 0.000
0.000 0.000 5.156
ATOMIC_POSITIONS crystal
Hg 0.000 0.500 0.000
Pd 0.000 0.000 0.000
Sb 0.000 0.000 0.500
W 0.500 0.500 0.500
Sb 0.500 0.000 0.000
```

energy: -20.7 eV per cell
ΔE_f (raw): 1.208 eV/atom
DOS(E_F): 0.52 states/eV/atom
M_tot: 3.6 μB/f.u.

---

[4]
Entry from Alexandria via LeMat-Bulk: a relaxed structure of Sc6Hg5Pd (PBE). Values from VASP.

Structure (Quantum ESPRESSO input):
```
&SYSTEM
  ibrav = 0, nat = 12, ntyp = 3
/
ATOMIC_SPECIES
Sc 44.96 Sc.upf
Hg 200.59 Hg.upf
Pd 106.42 Pd.upf
CELL_PARAMETERS angstrom
-2.639 1.848 3.720
-3.300 -6.137 0.708
3.843 -1.302 6.628
ATOMIC_POSITIONS crystal
Sc 0.162 0.756 0.677
Sc 0.838 0.756 0.323
Hg 0.669 0.500 0.662
Pd 0.000 0.000 0.000
Hg 0.669 0.000 0.662
Hg 0.000 0.500 0.000
Hg 0.331 0.500 0.338
Sc 0.162 0.244 0.677
Hg 0.331 0.000 0.338
Sc 0.500 0.239 0.000
Sc 0.500 0.761 0.000
Sc 0.838 0.244 0.323
```

energy: -50.6 eV per cell
E_form: -5.94 eV/f.u.
DOS(E_F): 0.87 states/eV/atom
M_tot: 0.0 μB/f.u.

---

[5]
Entry from Alexandria via LeMat-Bulk: a relaxed structure of ScHg3Pd (PBE). Values from VASP.

Structure (Quantum ESPRESSO input):
```
&SYSTEM
  ibrav = 0, nat = 5, ntyp = 3
/
ATOMIC_SPECIES
Hg 200.59 Hg.upf
Pd 106.42 Pd.upf
Sc 44.96 Sc.upf
CELL_PARAMETERS angstrom
-2.777 -0.532 4.292
-3.615 -2.513 -2.651
2.373 -4.451 0.984
ATOMIC_POSITIONS crystal
Hg 0.000 0.000 0.500
Pd 0.000 0.000 0.000
Hg 0.500 0.000 0.000
Hg 0.000 0.500 0.000
Sc 0.500 0.500 0.500
```

energy: -11.2 eV per cell
E_form: 1.18 eV/f.u.
DOS(E_F): 0.99 states/eV/atom
M_tot: 0.9 μB/f.u.

---

[6]
Entry from Alexandria via LeMat-Bulk: a relaxed structure of Sc4HgPd3 (PBE). Values from VASP.

Structure (Quantum ESPRESSO input):
```
&SYSTEM
  ibrav = 0, nat = 8, ntyp = 3
/
ATOMIC_SPECIES
Pd 106.42 Pd.upf
Sc 44.96 Sc.upf
Hg 200.59 Hg.upf
CELL_PARAMETERS angstrom
4.558 0.000 1.346
2.081 4.056 1.346
0.040 0.024 8.259
ATOMIC_POSITIONS crystal
Pd 0.749 0.749 0.753
Pd 0.251 0.251 0.247
Sc 0.620 0.620 0.140
Pd 0.500 0.500 0.500
Sc 0.380 0.380 0.860
Hg 0.000 0.000 0.000
Sc 0.871 0.871 0.387
Sc 0.129 0.129 0.613
```

energy: -47.3 eV per cell
E_form: -6.08 eV/f.u.
DOS(E_F): 0.81 states/eV/atom
M_tot: 0.0 μB/f.u.

---

Please write out number 6 again, unchanged.
Entry from Alexandria via LeMat-Bulk: a relaxed structure of Sc4HgPd3 (PBE). Values from VASP.

Structure (Quantum ESPRESSO input):
```
&SYSTEM
  ibrav = 0, nat = 8, ntyp = 3
/
ATOMIC_SPECIES
Pd 106.42 Pd.upf
Sc 44.96 Sc.upf
Hg 200.59 Hg.upf
CELL_PARAMETERS angstrom
4.558 0.000 1.346
2.081 4.056 1.346
0.040 0.024 8.259
ATOMIC_POSITIONS crystal
Pd 0.749 0.749 0.753
Pd 0.251 0.251 0.247
Sc 0.620 0.620 0.140
Pd 0.500 0.500 0.500
Sc 0.380 0.380 0.860
Hg 0.000 0.000 0.000
Sc 0.871 0.871 0.387
Sc 0.129 0.129 0.613
```

energy: -47.3 eV per cell
E_form: -6.08 eV/f.u.
DOS(E_F): 0.81 states/eV/atom
M_tot: 0.0 μB/f.u.